{"formula": "Ca3Er3Ge2BO13", "functional": "GGA-PBE", "state": "relaxed", "cell": [[-2.602, 4.992, -4.794], [-4.814, -5.020, -2.510], [-7.224, 1.576, -0.084]], "species": ["Ca", "Ca", "Ca", "Er", "Er", "Er", "Ge", "Ge", "B", "O", "O", "O", "O", "O", "O", "O", "O", "O", "O", "O", "O", "O"], "fractional_positions": [[0.770, 0.767, 0.462], [0.232, 0.768, 0.000], [0.233, 0.230, 0.538], [0.229, 0.224, 0.000], [0.774, 0.226, 0.000], [0.776, 0.771, 0.000], [0.745, 0.255, 0.500], [0.247, 0.753, 0.500], [0.504, 0.496, 0.000], [0.991, 0.009, 0.000], [0.417, 0.567, 0.843], [0.426, 0.248, 0.157], [0.433, 0.583, 0.157], [0.752, 0.574, 0.843], [0.153, 0.858, 0.298], [0.147, 0.454, 0.705], [0.142, 0.847, 0.702], [0.546, 0.853, 0.295], [0.837, 0.150, 0.703], [0.841, 0.546, 0.298], [0.850, 0.163, 0.297], [0.454, 0.159, 0.702]], "de_polymorph_ev_per_atom": 0.004, "n_ef_per_ev_fu": 0.00, "e_form_raw_ev_per_atom": -2.910, "space_group": "C2 (5)"}